1.
The following is a PBE calculation of PH6PbCCl3 after structural relaxation, from Alexandria.

Values from the calculation:
- space group = Pm
- total DFT energy (no corrections) (eV/f.u.) = -50.04

Unit cell a=5.9013 b=5.8803 c=5.9752 alpha=90.00 beta=96.27 gamma=90.00
Last column: nearest neighbours and their distance in Å.
Positions (direct):
1 P 0.0000 0.0000 0.0000  3 H 1.40-1.41
2 H 0.0291 0.1941 0.1393  1 P 1.41
3 H 0.0291 0.8059 0.1393  1 P 1.41
4 H 0.1782 0.1529 0.6926  1 C 1.10
5 H 0.1782 0.8471 0.6926  1 C 1.10
6 H 0.3738 0.0000 0.8892  1 C 1.10
7 H 0.7776 0.0000 0.8908  1 P 1.40
8 Pb 0.6068 0.5000 0.4050  5 Cl 2.70-3.00
9 C 0.2023 0.0000 0.7976  3 H 1.10
10 Cl 0.1148 0.5000 0.4050  4 H 2.42-2.67
11 Cl 0.6114 0.0000 0.3646  2 Pb 2.95, 5 H 3.03-3.19
12 Cl 0.6582 0.5000 0.8601  1 Pb 2.70, 2 H 3.02

2.
The following is a PBE calculation of Hf2TaHgO after structural relaxation, from Alexandria.

Values from the calculation:
- energy relative to the elements, uncorrected (eV/atom) = 1.3868
- space group = P4/mmm

Unit cell a=5.0529 b=5.0529 c=5.2260 alpha=90.00 beta=90.00 gamma=90.00
Last column: nearest neighbours and their distance in Å.
Positions (direct):
1 Hf 0.0000 0.5000 0.0000  2 Ta 2.53
2 Hf 0.5000 0.0000 0.0000  2 Ta 2.53
3 Ta 0.0000 0.0000 0.0000  4 Hf 2.53, 2 Hg 2.61
4 Hg 0.0000 0.0000 0.5000  2 Ta 2.61
5 O 0.5000 0.5000 0.5000  4 Hg 3.57, 8 Hf 3.63

3.
The following is a PBE calculation of Ce5TeS4 after structural relaxation, from Alexandria.

Values from the calculation:
- energy relative to the elements, uncorrected (eV/atom) = -1.8441
- space group = Immm

Unit cell a=10.9250 b=10.9250 c=10.9250 alpha=158.47 beta=148.88 gamma=38.16
Last column: nearest neighbours and their distance in Å.
Positions (direct):
1 Ce 0.0000 0.0000 0.0000  4 S 2.91, 2 Te 2.93
2 Ce 0.1988 0.1988 0.0000  6 S 2.84-2.93
3 Ce 0.3876 0.3876 0.0000  4 S 2.80-2.94, 2 Te 3.09
4 Ce 0.6124 0.6124 0.0000  4 S 2.80-2.94, 2 Te 3.09
5 Ce 0.8012 0.8012 0.0000  6 S 2.84-2.93
6 Te 0.5000 0.0000 0.5000  6 Ce 2.93-3.09
7 S 0.1004 0.6004 0.5000  6 Ce 2.88-2.94
8 S 0.2944 0.7944 0.5000  6 Ce 2.80-2.93
9 S 0.7056 0.2056 0.5000  6 Ce 2.80-2.93
10 S 0.8996 0.3996 0.5000  6 Ce 2.88-2.94

| no. | spin magnetization (Bohr magnetons per cell) |
| --- | --- |
| 1 | 0.0 |
| 2 | 0.0 |
| 3 | 3.3 |